(1)
## MnCrHg2 (PBE)

Data for a relaxed structure of MnCrHg2.

Cell: 5.9270 5.9270 5.9270 Å, 103.39 103.39 122.46°
Atoms (fractional coordinates):
Mn: 0.0000 0.0000 0.0000
Mn: 0.7500 0.2500 0.5000
Cr: 0.2500 0.7500 0.5000
Cr: 0.5000 0.5000 0.0000
Hg: 0.1311 0.1250 0.5061
Hg: 0.3750 0.8689 0.9939
Hg: 0.6189 0.6250 0.4939
Hg: 0.8750 0.3811 0.0061

Output
Energy of formation from the pure elements, eV per atom: 0.97
Fermi-level density of states, states/eV/f.u.: 5.6
Space-group type: No. 122
Polymorph energy (0 for the lowest one), eV/atom: 0.684



(2)
## MnCrHg2 (PBE)

Data for a relaxed structure of MnCrHg2.

Cell: 5.3596 5.3596 4.8466 Å, 103.18 103.18 34.18°
Atoms (fractional coordinates):
Mn: 0.0000 0.0000 0.0000
Cr: 0.2549 0.2549 0.6721
Hg: 0.5077 0.5077 0.5121
Hg: 0.7480 0.7480 0.1600

Output
Energy of formation from the pure elements, eV per atom: 0.49
Fermi-level density of states, states/eV/f.u.: 2.6
Space-group type: No. 8
Polymorph energy (0 for the lowest one), eV/atom: 0.199



(3)
## MnCrHg2 (PBE)

Data for a relaxed structure of MnCrHg2.

Cell: 3.2039 3.2039 6.9969 Å, 90.00 90.00 90.00°
Atoms (fractional coordinates):
Mn: 0.0000 0.0000 0.0000
Cr: 0.5000 0.5000 0.1628
Hg: 0.0000 0.0000 0.4270
Hg: 0.5000 0.5000 0.7428

Output
Energy of formation from the pure elements, eV per atom: 0.29
Fermi-level density of states, states/eV/f.u.: 2.5
Space-group type: No. 99
Polymorph energy (0 for the lowest one), eV/atom: 0.002



(4)
## Mn2CrHg (PBE)

Data for a relaxed structure of Mn2CrHg.

Cell: 4.9407 4.9407 4.9407 Å, 135.04 132.19 67.72°
Atoms (fractional coordinates):
Mn: 0.0000 0.0000 0.0000
Mn: 0.7460 0.2460 0.5000
Cr: 0.2359 0.7359 0.5000
Hg: 0.4907 0.4907 0.0000

Output
Energy of formation from the pure elements, eV per atom: 0.34
Fermi-level density of states, states/eV/f.u.: 3.2
Space-group type: No. 44



(5)
## MnCrHg2 (PBE)

Data for a relaxed structure of MnCrHg2.

Cell: 4.7751 4.7751 5.5301 Å, 101.04 101.04 38.89°
Atoms (fractional coordinates):
Mn: 0.0000 0.0000 0.0000
Cr: 0.5000 0.5000 0.5000
Hg: 0.2504 0.2504 0.7517
Hg: 0.7496 0.7496 0.2483

Output
Energy of formation from the pure elements, eV per atom: 0.51
Fermi-level density of states, states/eV/f.u.: 2.2
Space-group type: No. 12
Polymorph energy (0 for the lowest one), eV/atom: 0.220



(6)
## Mn2CrHg (PBE)

Data for a relaxed structure of Mn2CrHg.

Cell: 8.8119 8.8119 8.8119 Å, 155.10 155.10 35.50°
Atoms (fractional coordinates):
Mn: 0.0283 0.6250 0.9033
Mn: 0.3750 0.2783 0.4033
Mn: 0.7217 0.1250 0.0967
Mn: 0.8750 0.9717 0.5967
Cr: 0.0000 0.0000 0.0000
Cr: 0.7500 0.2500 0.5000
Hg: 0.2500 0.7500 0.5000
Hg: 0.5000 0.5000 0.0000

Output
Energy of formation from the pure elements, eV per atom: 1.02
Fermi-level density of states, states/eV/f.u.: 5.5
Space-group type: No. 122